A plane-wave DFT calculation with PBE was carried out for crystalline V2Si2S at its relaxed geometry.

Cell lengths 6.8535, 6.8535, 6.8535 Å; angles 152.04, 152.04, 39.95 degrees
With the nearest neighbours (Å) after each atom.
Fractional positions:
V1 0.1026 0.1026 0.0000  4 Si 2.52, 1 V 2.64, 4 S 2.69
V2 0.8974 0.8974 0.0000  4 Si 2.52, 1 V 2.64, 4 S 2.69
Si1 0.2500 0.7500 0.5000  4 Si 2.34, 4 V 2.52
Si2 0.7500 0.2500 0.5000  4 Si 2.34, 4 V 2.52
S1 0.5000 0.5000 0.0000  8 V 2.69

Energy above the lowest structure with this stoichiometry: 14 meV/atom
E: -6.900 eV/atom
Volume: 14.126 Å³/atom
ΔE_f (raw): -1.292 eV per formula unit
Mass density: 4.5 Mg/m³